1.
! LaMn2CdPd (GGA-PBE, optimized geometry); values from VASP
&SYSTEM
  ibrav = 0, nat = 5, ntyp = 4
/
ATOMIC_SPECIES
Mn 54.94 Mn.upf
Pd 106.42 Pd.upf
Cd 112.41 Cd.upf
La 138.91 La.upf
CELL_PARAMETERS angstrom
-2.489 3.756 -1.390
-4.077 -1.909 2.141
1.081 2.206 4.025
ATOMIC_POSITIONS angstrom
Mn -1.244 1.878 -0.695
Mn 0.540 1.103 2.012
Pd 0.000 0.000 0.000
Cd -2.039 -0.955 1.071
La -2.743 2.026 2.388
! E_form (eV per atom): 0.946
! Crystal system: tetragonal
! Magnetic moment (Bohr magnetons per cell): 0.19
! Energy (eV/atom): -4.93



2.
! BeSi2W (GGA-PBE, optimized geometry); values from VASP
&SYSTEM
  ibrav = 0, nat = 4, ntyp = 3
/
ATOMIC_SPECIES
W 183.84 W.upf
Be 9.01 Be.upf
Si 28.09 Si.upf
CELL_PARAMETERS angstrom
3.264 0.000 0.000
0.000 3.264 0.000
0.000 0.000 4.894
ATOMIC_POSITIONS angstrom
W 0.000 0.000 2.417
Be 1.632 1.632 3.711
Si 0.000 0.000 4.838
Si 1.632 1.632 1.269
! Raw formation energy (eV per formula unit): -0.180
! Crystal system: tetragonal
! Magnetic moment (Bohr magnetons per cell): 0.00
! Energy (eV/atom): -6.93